## NdSmLu (PBE-GGA)

Data for a relaxed structure of NdSmLu.

## Properties
Magnetic moment (μB per atom): 0.00
Theoretical density (Mg/m³): 8.01
Energy of formation (eV per atom): 0.075
DOS at the Fermi energy (states/eV/f.u.): 4.25
Excess energy over the best structure of this formula in the dataset (meV per atom): 45
Crystal system: hexagonal
SG: P-6m2

a b c (Å): 3.487 5.678 5.678
angles (deg): 120.00 90.00 90.00
Fractional positions:
Nd 0.167 0.000 0.000
Lu 0.166 0.667 0.333
Sm 0.667 0.333 0.667